## ErTmMo (GGA-PBE)

Data for ErTmMo after structural relaxation.

```
ErTmMo
1.0
-0.491 4.336 -0.054
-3.984 -0.505 -4.315
-3.841 -2.573 4.620
Mo Er Tm
2 2 2
Cartesian
-2.671 1.916 1.744
-5.645 -0.657 -1.493
-3.893 1.722 -2.700
-4.423 -0.463 2.951
-5.593 1.569 0.426
-2.722 -0.310 -0.175
```

Output
- DOS(E_F): 1.170 states/eV per atom
- Theoretical density: 9.094 g/cm3
- Space group: C2/m
- Formation energy from the elements: 5.221 kcal/mol of atoms

## ThUC2 (GGA-PBE)

Data for ThUC2 after structural relaxation.

```
ThUC2
1.0
3.556 0.000 0.000
-1.778 3.079 -0.001
0.000 -0.009 6.153
Th U C
1 1 2
Cartesian
-0.889 1.535 3.076
-0.889 1.539 -0.001
0.889 2.560 4.829
0.889 0.510 1.323
```

Output
- E above lowest polymorph: 0.334 eV/atom
- DOS(E_F): 1.190 states/eV per atom
- Theoretical density: 12.179 g/cm3
- Space group: C2/m
- Formation energy from the elements: 1.665 kcal/mol of atoms

## Ac4SbTe2Pd (GGA-PBE)

Data for Ac4SbTe2Pd after structural relaxation.

```
Ac4SbTe2Pd
1.0
4.609 0.000 0.000
0.000 8.175 0.192
0.000 -2.812 7.771
Ac Sb Te Pd
4 1 2 1
Cartesian
2.305 1.233 1.786
2.305 4.130 6.177
0.000 -0.130 5.972
0.000 5.493 1.991
2.305 4.087 0.096
2.305 -1.406 3.886
0.000 2.682 3.982
0.000 0.000 0.000
```

Output
- DOS(E_F): 0.798 states/eV per atom
- Theoretical density: 7.824 g/cm3
- Space group: P2/m
- Total energy: -41.77 eV per cell

## Cu3BiS (GGA-PBE)

Data for Cu3BiS after structural relaxation.

```
Cu3BiS
1.0
-1.254 2.789 -3.321
0.079 -3.442 -2.920
-4.336 -0.869 0.907
S Bi Cu
1 1 3
Cartesian
0.000 0.000 0.000
-2.755 -0.761 -2.667
0.040 -1.721 -1.460
-2.168 -0.435 0.454
-0.627 1.394 -1.661
```

Output
- E above lowest polymorph: 0.000 eV/atom
- DOS(E_F): 0.781 states/eV per atom
- Theoretical density: 7.792 g/cm3
- Space group: Pm-3m

## UGaSnAu (GGA-PBE)

Data for UGaSnAu after structural relaxation.

```
UGaSnAu
1.0
4.983 0.000 0.000
2.492 4.316 0.000
2.492 1.439 4.069
Au U Sn Ga
1 1 1 1
Cartesian
0.000 0.000 0.000
2.492 1.439 1.017
7.475 4.316 3.052
4.983 2.877 2.034
```

Output
- DOS(E_F): 1.417 states/eV per atom
- Theoretical density: 11.829 g/cm3
- Space group: F-43m
- Formation energy from the elements: -2.353 kcal/mol of atoms

## LiIn2Hg (GGA-PBE)

Data for LiIn2Hg after structural relaxation.

```
LiIn2Hg
1.0
5.690 0.009 -0.040
2.286 5.210 0.040
-3.965 -2.645 3.108
Li Hg In
1 1 2
Cartesian
1.154 2.588 1.574
2.856 -0.013 1.534
0.001 0.000 0.000
3.987 2.609 0.000
```

Output
- DOS(E_F): 0.329 states/eV per atom
- Theoretical density: 7.883 g/cm3
- Space group: I4/mmm
- Formation energy from the elements: -3.350 kcal/mol of atoms